{"formula": "Na2HfAlS4", "functional": "PBE", "state": "optimized geometry", "dos_ef_per_ev_atom": 0.3763, "raw_formation_energy_ev_per_atom": -1.10, "density_g_cm3": 3.64, "space_group": "I-42m, No. 121", "lattice_angstrom": [[6.503, 0.000, 0.000], [3.251, 5.161, 0.000], [3.251, 0.000, 5.161]], "species": ["Na", "Na", "Hf", "Al", "S", "S", "S", "S"], "frac_coords": [[0.000, 0.500, 0.500], [0.500, 0.500, 0.500], [0.000, 0.000, 0.000], [0.500, 0.000, 0.000], [0.102, 0.337, 0.000], [0.898, 0.000, 0.663], [0.561, 0.000, 0.337], [0.439, 0.663, 0.000]]}

{"formula": "CeDyY5Er2", "functional": "PBE", "state": "optimized geometry", "dos_ef_per_ev_atom": 1.8072, "formation_energy_ev_per_fu": 1.548, "density_g_cm3": 6.12, "space_group": "Cmc2_1, No. 36", "lattice_angstrom": [[-0.615, 3.905, 4.115], [-10.356, -3.232, -2.437], [0.591, -6.886, 6.622]], "species": ["Ce", "Ce", "Dy", "Dy", "Y", "Y", "Y", "Y", "Y", "Y", "Y", "Y", "Y", "Y", "Er", "Er", "Er", "Er"], "frac_coords": [[0.811, 0.621, 0.521], [0.189, 0.379, 0.021], [0.597, 0.195, 0.927], [0.403, 0.805, 0.427], [0.390, 0.781, 0.044], [0.733, 0.467, 0.833], [0.472, 0.943, 0.747], [0.305, 0.610, 0.711], [0.987, 0.973, 0.512], [0.610, 0.219, 0.544], [0.267, 0.533, 0.333], [0.528, 0.057, 0.247], [0.695, 0.390, 0.211], [0.013, 0.027, 0.012], [0.887, 0.773, 0.821], [0.132, 0.264, 0.709], [0.113, 0.227, 0.321], [0.868, 0.736, 0.209]]}